Record 1
Compound: LiPBr2
Source: Alexandria via LeMat-Bulk
Functional: GGA-PBE
Structure: relaxed

Geometry as CIF:
```
data_LiPBr2
_space_group_name_H-M_alt 'P 1 2/m 1'
_space_group_IT_number 10
_cell_length_a 5.1642
_cell_length_b 3.7570
_cell_length_c 5.1880
_cell_angle_alpha 90.00
_cell_angle_beta 93.60
_cell_angle_gamma 90.00
loop_
_space_group_symop_operation_xyz
'x,y,z'
'-x,-y,-z'
'-x,y,-z'
'x,-y,z'
loop_
_atom_site_label
_atom_site_fract_x
_atom_site_fract_y
_atom_site_fract_z
Li1 0.0000 0.0000 0.0000
P1 0.5000 0.0000 0.5000
Br1 0.2542 0.5000 0.7452
```

## Properties
theoretical density	3268	kg/m³
polymorph energy (0 for the lowest one)	60	kJ/mol of formula units
volume	100.5	Å³ per cell
energy relative to the elements, uncorrected	-0.209	eV/atom


Record 2
Compound: LiPBr6
Source: Alexandria via LeMat-Bulk
Functional: GGA-PBE
Structure: relaxed

Geometry as CIF:
```
data_LiPBr6
_space_group_name_H-M_alt 'P -1'
_space_group_IT_number 2
_cell_length_a 6.6466
_cell_length_b 6.6479
_cell_length_c 6.9869
_cell_angle_alpha 61.63
_cell_angle_beta 90.00
_cell_angle_gamma 60.05
loop_
_space_group_symop_operation_xyz
'x,y,z'
'-x,-y,-z'
loop_
_atom_site_label
_atom_site_fract_x
_atom_site_fract_y
_atom_site_fract_z
Li1 0.0000 0.0000 0.0000
P1 0.5000 0.0000 0.5000
Br1 0.1259 0.4495 0.2648
Br2 0.2852 0.8402 0.7356
Br3 0.4243 0.8608 0.2645
```

## Properties
theoretical density	3840	kg/m³
volume	223.7	Å³ per cell
energy relative to the elements, uncorrected	-0.376	eV/atom


Record 3
Compound: Li4PBr
Source: Alexandria via LeMat-Bulk
Functional: GGA-PBE
Structure: relaxed

Geometry as CIF:
```
data_Li4PBr
_space_group_name_H-M_alt 'F -4 3 m'
_space_group_IT_number 216
_space_group_name_Hall 'F -4 2 3'
_cell_length_a 7.3985
_cell_length_b 7.3985
_cell_length_c 7.3985
_cell_angle_alpha 90.00
_cell_angle_beta 90.00
_cell_angle_gamma 90.00
loop_
_atom_site_label
_atom_site_fract_x
_atom_site_fract_y
_atom_site_fract_z
Li1 0.1218 0.1218 0.1218
P1 0.2500 0.2500 0.7500
Br1 0.0000 0.0000 0.5000
```

## Properties
theoretical density	2274	kg/m³
volume	405.0	Å³ per cell
energy relative to the elements, uncorrected	-0.109	eV/atom


Record 4
Compound: LiPBr2
Source: Alexandria via LeMat-Bulk
Functional: GGA-PBE
Structure: relaxed

Geometry as CIF:
```
data_LiPBr2
_space_group_name_H-M_alt 'P 1 m 1'
_space_group_IT_number 6
_cell_length_a 3.6683
_cell_length_b 5.6675
_cell_length_c 5.3003
_cell_angle_alpha 90.00
_cell_angle_beta 110.12
_cell_angle_gamma 90.00
loop_
_space_group_symop_operation_xyz
'x,y,z'
'x,-y,z'
loop_
_atom_site_label
_atom_site_fract_x
_atom_site_fract_y
_atom_site_fract_z
Li1 0.0000 0.0000 0.0000
P1 0.3169 0.5000 0.6345
Br1 0.0863 0.5000 0.1716
Br2 0.3284 0.0000 0.6555
```

## Properties
theoretical density	3173	kg/m³
polymorph energy (0 for the lowest one)	14	kJ/mol of formula units
volume	103.5	Å³ per cell
energy relative to the elements, uncorrected	-0.328	eV/atom